Entry from Alexandria via LeMat-Bulk: a relaxed Nb2Ni7Sb2Pt crystal (PBE).

```
data_Nb2Ni7Sb2Pt
_chemical_formula_sum 'Nb4 Ni14 Sb4 Pt2'
_symmetry_space_group_name_H-M 'I 4/m m m'
_symmetry_Int_Tables_number 139
_symmetry_space_group_name_Hall '-I 4 2'
_cell_length_a 3.486
_cell_length_b 3.486
_cell_length_c 29.533
_cell_angle_alpha 90.00
_cell_angle_beta 90.00
_cell_angle_gamma 90.00
loop_
_atom_site_label
_atom_site_fract_x
_atom_site_fract_y
_atom_site_fract_z
_atom_site_occupancy
Nb1 0.000 0.000 0.128 1
Ni1 0.000 0.000 0.000 1
Ni2 0.000 0.000 0.226 1
Ni3 0.000 0.500 0.066 1
Sb1 0.000 0.000 0.312 1
Pt1 0.000 0.000 0.500 1
```

Values from the calculation:
total magnetization: 0.001 Bohr magnetons per cell
ΔE_f (raw): 0.01 eV per atom
final energy: -0.45795 Ry per atom